Record 1
A plane-wave DFT calculation with PBE-GGA was carried out for an optimized crystal structure of Tb4YEr7.

Cell lengths 6.7574, 6.4746, 11.6508 Å; angles 75.03, 50.17, 81.71 degrees
Closest atoms and distances in Å follow each position.
Atoms (fractional coordinates):
Tb1 0.5216 0.6369 0.2855  8 Er 3.28-3.66, 1 Y 3.38, 2 Tb 3.46-3.50
Tb2 0.4784 0.3631 0.7145  8 Er 3.28-3.66, 1 Y 3.38, 2 Tb 3.46-3.50
Tb3 0.6924 0.8392 0.6908  7 Er 3.36-3.65, 2 Tb 3.46-3.50
Tb4 0.3076 0.1608 0.3093  7 Er 3.36-3.65, 2 Tb 3.46-3.50
Y1 0.0000 0.0000 0.0000  4 Er 3.38-3.46, 2 Tb 3.38
Er1 0.8021 0.5153 0.9487  5 Er 3.34-3.53, 4 Tb 3.35-3.66, 1 Y 3.46
Er2 0.1979 0.4847 0.0513  5 Er 3.34-3.53, 4 Tb 3.35-3.66, 1 Y 3.46
Er3 0.0600 0.3160 0.6416  5 Er 3.35-3.68, 4 Tb 3.43-3.50
Er4 0.9400 0.6840 0.3584  5 Er 3.35-3.68, 4 Tb 3.43-3.50
Er5 0.2804 0.8105 0.6127  5 Er 3.24-3.57, 5 Tb 3.28-3.58
Er6 0.5000 0.0000 0.0000  4 Tb 3.36-3.62, 2 Y 3.38, 4 Er 3.45-3.68
Er7 0.7196 0.1895 0.3873  5 Er 3.24-3.57, 5 Tb 3.28-3.58

Summary:
**DFT formation energy**: 0.09 eV/atom
**DOS(E_F)**: 20.13 states/eV/f.u.
**Total moment**: 0.00 μB per cell
**Space-group type**: P-1 (2)
**Offset from the most stable computed form**: 0 meV/atom
**DFT total energy**: -4.6554 eV per atom
**V**: 31.5 Å³/atom

=====

Record 2
A plane-wave DFT calculation with PBE-GGA was carried out for an optimized crystal structure of TbY6Er4.

Cell lengths 3.5382, 10.8690, 10.8690 Å; angles 120.00, 90.00, 90.00 degrees
Closest atoms and distances in Å follow each position.
Atoms (fractional coordinates):
Tb1 0.0000 0.0000 0.0000  6 Er 3.50, 2 Tb 3.54, 6 Y 3.87
Y1 0.0000 0.5204 0.0407  5 Er 3.52, 6 Y 3.54-3.69
Y2 0.5000 0.6344 0.8172  4 Er 3.25-3.34, 2 Y 3.54
Y3 0.0000 0.5204 0.4796  5 Er 3.52, 6 Y 3.54-3.69
Y4 0.0000 0.9593 0.4796  5 Er 3.52, 6 Y 3.54-3.69
Y5 0.5000 0.1828 0.8172  4 Er 3.25-3.34, 2 Y 3.54
Y6 0.5000 0.1828 0.3656  4 Er 3.25-3.34, 2 Y 3.54
Er1 0.5000 0.8398 0.6795  6 Y 3.25-3.52, 2 Tb 3.50, 2 Er 3.54
Er2 0.5000 0.3205 0.1602  6 Y 3.25-3.52, 2 Tb 3.50, 2 Er 3.54
Er3 0.5000 0.8398 0.1602  6 Y 3.25-3.52, 2 Tb 3.50, 2 Er 3.54
Er4 0.0000 0.3333 0.6667  9 Y 3.34-3.52, 2 Er 3.54

Summary:
**DFT formation energy**: 0.16 eV/atom
**DOS(E_F)**: 16.35 states/eV/f.u.
**Total moment**: 0.00 μB per cell
**Space-group type**: P-6m2 (187)
**Offset from the most stable computed form**: 39 meV/atom
**DFT total energy**: -5.4444 eV per atom
**V**: 32.9 Å³/atom